TbHo7: relaxed, PBE.

Values from the calculation:
V: 497.1 Å³ per cell
relative energy among the computed polymorphs: 0.015 eV per atom

a b c (Å): 3.497 11.022 12.899
angles (deg): 90.00 90.00 90.00
Space group Immm (No. 71)
Unique sites:
Tb (0.000, 0.000, 0.000)
Ho (0.000, 0.231, 0.367)
Ho (0.000, 0.500, 0.000)
Ho (0.000, 0.500, 0.259)